{"formula": "Cu3AsO6", "functional": "PBE-GGA", "state": "relaxed", "de_polymorph_kj_per_mol_atoms": 1.57, "formation_energy_uncorrected_mev_per_atom": -678, "energy_ha_per_atom": -0.196, "cell": [[5.953, 0.093, 0.095], [-0.036, 5.953, 0.095], [-0.036, -0.037, 5.954]], "species": ["O", "O", "O", "O", "O", "O", "O", "O", "O", "O", "O", "O", "Cu", "Cu", "Cu", "Cu", "Cu", "Cu", "As", "As"], "fractional_positions": [[0.052, 0.302, 0.938], [0.302, 0.938, 0.052], [0.948, 0.698, 0.062], [0.938, 0.052, 0.302], [0.804, 0.462, 0.575], [0.196, 0.538, 0.425], [0.575, 0.804, 0.462], [0.062, 0.948, 0.698], [0.462, 0.575, 0.804], [0.698, 0.062, 0.948], [0.425, 0.196, 0.538], [0.538, 0.425, 0.196], [0.755, 0.449, 0.915], [0.449, 0.915, 0.755], [0.915, 0.755, 0.449], [0.245, 0.551, 0.085], [0.551, 0.085, 0.245], [0.085, 0.245, 0.551], [0.500, 0.500, 0.500], [0.000, 0.000, 0.000]]}